No. 1
A plane-wave DFT calculation with PBE was carried out for crystalline Ba2CaIn at its relaxed geometry.

Summary:
- relative energy among the computed polymorphs (meV/atom) = 91

Structure (CIF):
```
data_Ba2CaIn
_space_group_name_H-M_alt 'F m -3 m'
_space_group_IT_number 225
_space_group_name_Hall '-F 4 2 3'
_cell_length_a 8.836
_cell_length_b 8.836
_cell_length_c 8.836
_cell_angle_alpha 90.00
_cell_angle_beta 90.00
_cell_angle_gamma 90.00
loop_
_atom_site_label
_atom_site_fract_x
_atom_site_fract_y
_atom_site_fract_z
Ba1 0.250 0.250 0.250
Ca1 0.000 0.000 0.000
In1 0.000 0.000 0.500
```


No. 2
A plane-wave DFT calculation with PBE was carried out for crystalline BaCa3In2 at its relaxed geometry.

Summary:
- final energy (eV/atom) = -2.56

Structure (CIF):
```
data_BaCa3In2
_space_group_name_H-M_alt 'P m c 21'
_space_group_IT_number 26
_cell_length_a 5.444
_cell_length_b 10.238
_cell_length_c 7.719
_cell_angle_alpha 90.00
_cell_angle_beta 90.00
_cell_angle_gamma 90.00
loop_
_space_group_symop_operation_xyz
'x,y,z'
'-x,-y,z+1/2'
'-x,y,z'
'x,-y,z+1/2'
loop_
_atom_site_label
_atom_site_fract_x
_atom_site_fract_y
_atom_site_fract_z
Ba1 0.000 0.054 0.000
Ca1 0.000 0.322 0.630
Ca2 0.500 0.197 0.304
Ca3 0.500 0.443 0.938
In1 0.000 0.372 0.209
In2 0.500 0.146 0.728
```


No. 3
A plane-wave DFT calculation with PBE was carried out for crystalline Ba4CaIn2 at its relaxed geometry.

Summary:
- final energy (eV/atom) = -2.40

Structure (CIF):
```
data_Ba4CaIn2
_space_group_name_H-M_alt 'R -3 m'
_space_group_IT_number 166
_space_group_name_Hall '-R 3 2"'
_cell_length_a 6.0849
_cell_length_b 6.0849
_cell_length_c 29.4247
_cell_angle_alpha 90.00
_cell_angle_beta 90.00
_cell_angle_gamma 120.00
loop_
_atom_site_label
_atom_site_fract_x
_atom_site_fract_y
_atom_site_fract_z
Ba1 0.0000 0.0000 0.1113
Ba2 0.0000 0.0000 0.3681
Ca1 0.0000 0.0000 0.5000
In1 0.0000 0.0000 0.2379
```